Compound: Fe4CoB2P
Source: Alexandria via LeMat-Bulk
Functional: PBE
Structure: relaxed

calculated formation energy: -0.379 eV per atom
Fermi-level density of states: 6.554 states/eV/f.u.

Cell lengths 6.4723, 6.4723, 6.4723 Å; angles 131.29, 131.29, 71.35 degrees
Last column: nearest neighbours and their distance in Å.
Fractional coordinates of all 16 atoms:
1 Fe 0.5287 0.0287 0.8386  3 B 2.16, 2 P 2.29
2 Fe 0.1901 0.6901 0.1614  3 B 2.16, 2 P 2.29
3 Fe 0.0287 0.1901 0.5000  3 B 2.16, 2 P 2.29
4 Fe 0.6901 0.5287 0.5000  3 B 2.16, 2 P 2.29
5 Fe 0.4713 0.9713 0.1614  3 B 2.16, 2 P 2.29
6 Fe 0.8099 0.3099 0.8386  3 B 2.16, 2 P 2.29
7 Fe 0.9713 0.8099 0.5000  3 B 2.16, 2 P 2.29
8 Fe 0.3099 0.4713 0.5000  3 B 2.16, 2 P 2.29
9 Co 0.5000 0.5000 0.0000  4 B 2.12
10 Co 0.0000 0.0000 0.0000  4 B 2.12
11 B 0.8787 0.3787 0.2575  1 B 1.83
12 B 0.1213 0.6213 0.7425  1 B 1.83
13 B 0.3787 0.1213 0.5000  1 B 1.83
14 B 0.6213 0.8787 0.5000  1 B 1.83
15 P 0.2500 0.2500 0.0000  8 Fe 2.29
16 P 0.7500 0.7500 0.0000  8 Fe 2.29

Compound: PaFeCo5B2
Source: Alexandria via LeMat-Bulk
Functional: PBE
Structure: relaxed

calculated formation energy: -0.090 eV per atom
Fermi-level density of states: 4.495 states/eV/f.u.

Cell lengths 3.9302, 3.9302, 6.6021 Å; angles 90.00, 90.00, 90.00 degrees
Last column: nearest neighbours and their distance in Å.
Fractional coordinates of all 9 atoms:
1 Pa 0.0000 0.0000 0.5000  12 Co 2.72-2.78
2 Fe 0.0000 0.0000 0.0000  8 Co 2.43
3 Co 0.0000 0.5000 0.2155  2 B 2.01
4 Co 0.5000 0.0000 0.2155  2 B 2.01
5 Co 0.0000 0.5000 0.7845  2 B 2.01
6 Co 0.5000 0.0000 0.7845  2 B 2.01
7 Co 0.5000 0.5000 0.5000  2 B 2.30
8 B 0.5000 0.5000 0.1521  1 B 2.01, 4 Co 2.01
9 B 0.5000 0.5000 0.8479  1 B 2.01, 4 Co 2.01

Compound: Pa4FeCo12B3
Source: Alexandria via LeMat-Bulk
Functional: PBE
Structure: relaxed

calculated formation energy: -0.232 eV per atom
Fermi-level density of states: 15.091 states/eV/f.u.

Cell lengths 6.9908, 6.9908, 6.9908 Å; angles 109.47, 109.47, 109.47 degrees
Last column: nearest neighbours and their distance in Å.
Fractional coordinates of all 20 atoms:
1 Pa 0.5000 0.5000 0.5000  12 Co 2.85-2.86
2 Pa 0.0000 0.0000 0.5000  12 Co 2.85-2.86
3 Pa 0.5000 0.0000 0.0000  12 Co 2.85-2.86
4 Pa 0.0000 0.5000 0.0000  12 Co 2.85-2.86
5 Fe 0.0000 0.0000 0.0000  6 Co 2.20
6 Co 0.2500 0.5000 0.7500  2 B 2.02
7 Co 0.7277 0.0000 0.7277  1 B 1.84
8 Co 0.2723 0.0000 0.2723  1 B 1.84
9 Co 0.7500 0.5000 0.2500  2 B 2.02
10 Co 0.7277 0.7277 0.0000  1 B 1.84
11 Co 0.2723 0.2723 0.0000  1 B 1.84
12 Co 0.7500 0.2500 0.5000  2 B 2.02
13 Co 0.2500 0.7500 0.5000  2 B 2.02
14 Co 0.5000 0.2500 0.7500  2 B 2.02
15 Co 0.0000 0.7277 0.7277  1 B 1.84
16 Co 0.5000 0.7500 0.2500  2 B 2.02
17 Co 0.0000 0.2723 0.2723  1 B 1.84
18 B 0.5000 0.0000 0.5000  6 Co 1.84-2.02
19 B 0.5000 0.5000 0.0000  6 Co 1.84-2.02
20 B 0.0000 0.5000 0.5000  6 Co 1.84-2.02

Compound: Pa2FeCo3B12
Source: Alexandria via LeMat-Bulk
Functional: PBE
Structure: relaxed

calculated formation energy: -0.040 eV per atom
Fermi-level density of states: 12.136 states/eV/f.u.

Cell lengths 7.8982, 7.8982, 7.8982 Å; angles 40.02, 40.02, 40.02 degrees
Last column: nearest neighbours and their distance in Å.
Fractional coordinates of all 18 atoms:
1 Pa 0.6389 0.6389 0.6389  6 B 2.57-2.84
2 Pa 0.3611 0.3611 0.3611  6 B 2.57-2.84
3 Fe 0.0000 0.0000 0.0000  6 B 1.96
4 Co 0.5000 0.0000 0.0000  6 B 2.08-2.10
5 Co 0.0000 0.5000 0.0000  6 B 2.08-2.10
6 Co 0.0000 0.0000 0.5000  6 B 2.08-2.10
7 B 0.3457 0.3457 0.0251  4 B 1.73-1.74
8 B 0.9438 0.9438 0.3268  2 B 1.74
9 B 0.3268 0.9438 0.9438  2 B 1.74
10 B 0.0251 0.3457 0.3457  4 B 1.73-1.74
11 B 0.9438 0.3268 0.9438  2 B 1.74
12 B 0.3457 0.0251 0.3457  4 B 1.73-1.74
13 B 0.6543 0.6543 0.9749  4 B 1.73-1.74
14 B 0.0562 0.0562 0.6732  2 B 1.74
15 B 0.6732 0.0562 0.0562  2 B 1.74
16 B 0.9749 0.6543 0.6543  4 B 1.73-1.74
17 B 0.0562 0.6732 0.0562  2 B 1.74
18 B 0.6543 0.9749 0.6543  4 B 1.73-1.74

Compound: PaFe2CoB
Source: Alexandria via LeMat-Bulk
Functional: PBE
Structure: relaxed

calculated formation energy: -0.378 eV per atom
Fermi-level density of states: 2.433 states/eV/f.u.

Cell lengths 3.9110, 3.9721, 3.9721 Å; angles 90.00, 90.00, 90.00 degrees
Last column: nearest neighbours and their distance in Å.
Fractional coordinates of all 5 atoms:
1 Pa 0.5000 0.5000 0.5000  8 Fe 2.79, 4 Co 2.81
2 Fe 0.0000 0.0000 0.5000  2 B 1.99
3 Fe 0.0000 0.5000 0.0000  2 B 1.99
4 Co 0.5000 0.0000 0.0000  2 B 1.96
5 B 0.0000 0.0000 0.0000  2 Co 1.96, 4 Fe 1.99

Compound: PmFeCoB3
Source: Alexandria via LeMat-Bulk
Functional: PBE
Structure: relaxed

calculated formation energy: -0.242 eV per atom
Fermi-level density of states: 1.910 states/eV/f.u.

Cell lengths 5.7185, 5.0443, 5.5244 Å; angles 117.16, 90.00, 90.00 degrees
Last column: nearest neighbours and their distance in Å.
Fractional coordinates of all 12 atoms:
1 Pm 0.7500 0.2625 0.5249  2 B 2.53
2 Pm 0.2500 0.7375 0.4751  2 B 2.53
3 Fe 0.2500 0.0315 0.0630  1 B 1.82
4 Fe 0.7500 0.9685 0.9370  1 B 1.82
5 Co 0.2500 0.4066 0.8133  5 B 1.86-1.96
6 Co 0.7500 0.5934 0.1867  5 B 1.86-1.96
7 B 0.2500 0.2170 0.4340  1 Fe 1.82, 1 Co 1.86
8 B 0.0000 0.3056 0.0000  1 B 1.96, 2 Co 1.96, 2 Fe 2.13
9 B 0.5000 0.6944 0.0000  1 B 1.96, 2 Co 1.96, 2 Fe 2.13
10 B 0.5000 0.3056 0.0000  1 B 1.96, 2 Co 1.96, 2 Fe 2.13
11 B 0.0000 0.6944 0.0000  1 B 1.96, 2 Co 1.96, 2 Fe 2.13
12 B 0.7500 0.7830 0.5660  1 Fe 1.82, 1 Co 1.86

What total magnetic moment values result from the calculations? In sequence: 6.6 5.5 4.1 2.2 0.8 0.0 μB per formula unit.